VASP calculation (PBE) on AlSn2F after structural relaxation.

Results
**E_form (uncorrected)**: -0.57 eV per atom
**DOS at the Fermi energy**: 0.039 states/eV/atom

```
AlSn2F
1.0
0.0000 3.4064 3.4064
3.4064 0.0000 3.4064
3.4064 3.4064 0.0000
Al Sn F
1 2 1
direct
0.0000 0.0000 0.0000
0.2500 0.2500 0.2500
0.7500 0.7500 0.7500
0.5000 0.5000 0.5000
```

---

VASP calculation (PBE) on Ca3HoPa2As6 after structural relaxation.

Results
**DOS at the Fermi energy**: 0.565 states/eV/atom
**Formation enthalpy at 0 K**: -120 kJ per mole of atoms

```
Ca3HoPa2As6
1.0
3.6128 -6.2562 0.0000
3.6128 6.2562 0.0000
-2.4063 0.0000 6.8275
Ca Ho Pa As
3 1 2 6
direct
0.0000 0.0000 0.0000
0.3348 0.6652 0.0000
0.6652 0.3348 0.0000
0.5000 0.5000 0.5000
0.1669 0.8331 0.5000
0.8331 0.1669 0.5000
0.0832 0.4224 0.2675
0.2386 0.2386 0.7333
0.4224 0.0832 0.2675
0.5776 0.9168 0.7325
0.7614 0.7614 0.2667
0.9168 0.5776 0.7325
```

---

VASP calculation (PBE) on K2HoSbO4 after structural relaxation.

Results
**E_form (uncorrected)**: -1.98 eV per atom

```
K2HoSbO4
1.0
-3.5520 3.6201 5.0670
3.5520 -3.6201 5.0670
3.5520 3.6201 -5.0670
K Ho Sb O
4 2 2 8
direct
0.0000 0.0000 0.0000
0.5000 0.0000 0.0000
0.5000 0.0000 0.5000
0.5000 0.5000 0.5000
0.0000 0.0000 0.5000
0.0000 0.5000 0.0000
0.0000 0.5000 0.5000
0.5000 0.5000 0.0000
0.1908 0.7339 0.4569
0.2230 0.2661 0.9569
0.2275 0.2572 0.5298
0.2275 0.6977 0.9702
0.7725 0.3023 0.0298
0.7725 0.7428 0.4702
0.7770 0.7339 0.0431
0.8092 0.2661 0.5431
```

---

How do the records compare in calculated density? In the order shown, they have 6.0 6.4 5.5 Mg/m³.